(1)
Here is an optimized crystal structure of La6NdTl5 from Alexandria via LeMat-Bulk. Energies are from PBE.

Cell lengths 5.708, 17.436, 7.787 Å; angles 90.00, 90.00, 90.00 degrees
Space group Cmmm (No. 65)
Asymmetric unit:
1 La 0.000 0.000 0.227 x4
2 La 0.000 0.326 0.252 x8
3 Nd 0.000 0.500 0.500 x2
4 Tl 0.000 0.149 0.500 x4
5 Tl 0.000 0.167 0.000 x4
6 Tl 0.000 0.500 0.000 x2

Computed properties:
density: 8.57 g/cm3



(2)
Here is an optimized crystal structure of La4Nd2Tl from Alexandria via LeMat-Bulk. Energies are from PBE.

Cell lengths 17.184, 3.648, 8.888 Å; angles 90.00, 117.18, 90.00 degrees
Space group C2/m (No. 12)
Asymmetric unit:
1 La 0.079 0.000 0.204 x4
2 La 0.134 0.500 0.895 x4
3 Nd 0.217 0.000 0.641 x4
4 Tl 0.000 0.000 0.500 x2

Computed properties:
energy above the lowest structure with this stoichiometry: 9.0 meV/atom
density: 7.03 g/cm3



(3)
Here is an optimized crystal structure of La2Nd3Tl4 from Alexandria via LeMat-Bulk. Energies are from PBE.

Cell lengths 7.459, 16.713, 9.565 Å; angles 90.00, 90.00, 90.00 degrees
Space group Cmce (No. 64)
Asymmetric unit:
1 La 0.000 0.108 0.070 x8
2 Nd 0.000 0.000 0.500 x4
3 Nd 0.250 0.218 0.750 x8
4 Tl 0.000 0.188 0.466 x8
5 Tl 0.250 0.028 0.750 x8

Computed properties:
energy above the lowest structure with this stoichiometry: 55.0 meV/atom
density: 8.51 g/cm3



(4)
Here is an optimized crystal structure of La15NdTl4 from Alexandria via LeMat-Bulk. Energies are from PBE.

Cell lengths 5.086, 5.086, 25.790 Å; angles 90.00, 90.00, 90.00 degrees
Space group P4/mmm (No. 123)
Asymmetric unit:
1 La 0.000 0.000 0.000 x1
2 La 0.000 0.000 0.205 x2
3 La 0.000 0.000 0.401 x2
4 La 0.000 0.500 0.104 x4
5 La 0.000 0.500 0.303 x4
6 La 0.000 0.500 0.500 x2
7 Nd 0.500 0.500 0.000 x1
8 Tl 0.500 0.500 0.205 x2
9 Tl 0.500 0.500 0.402 x2

Computed properties:
density: 7.58 g/cm3



| no. | electronic total energy (eV/atom) | magnetic moment (μB/f.u.) | DFT formation energy (meV per atom) |
| --- | --- | --- | --- |
| 1 | -4.1697 | 3.16 | -323 |
| 2 | -4.5352 | 0.00 | -19 |
| 3 | -4.0050 | 0.00 | -269 |
| 4 | -4.5916 | 0.00 | -184 |